one:
Computed, not measured: an optimized crystal structure of MoAs2Ru at the PBE-GGA level of DFT.

a = 4.477 Å, b = 4.477 Å, c = 4.477 Å
α = 60.00°, β = 60.00°, γ = 60.00°
Element x y z (fractional)
Mo 0.500 0.500 0.500
Ru 0.750 0.750 0.750
As 0.000 0.000 0.000
As 0.250 0.250 0.250

Output
**ρ**: 9.1 Mg/m³

---

two:
Computed, not measured: an optimized crystal structure of MoAs2Ru at the PBE-GGA level of DFT.

a = 4.368 Å, b = 4.368 Å, c = 3.107 Å
α = 90.00°, β = 90.00°, γ = 90.00°
Element x y z (fractional)
As 0.500 0.500 0.000
As 0.000 0.000 0.000
Mo 0.500 0.000 0.500
Ru 0.000 0.500 0.500

Output
**ρ**: 9.7 Mg/m³

---

It is one that is the least stable of them.

---

one:
Computed, not measured: an optimized crystal structure of MoAsRuSe2 at the PBE-GGA level of DFT.

a = 4.866 Å, b = 4.866 Å, c = 4.902 Å
α = 90.00°, β = 90.00°, γ = 90.00°
Element x y z (fractional)
Ru 0.500 0.500 0.500
Se 0.000 0.500 0.000
Se 0.500 0.000 0.000
Mo 0.000 0.000 0.000
As 0.000 0.000 0.500

Output
**ρ**: 6.1 Mg/m³

---

two:
Computed, not measured: an optimized crystal structure of MoAsRuSe2 at the PBE-GGA level of DFT.

a = 4.794 Å, b = 4.794 Å, c = 4.631 Å
α = 90.00°, β = 90.00°, γ = 90.00°
Element x y z (fractional)
As 0.000 0.000 0.500
Se 0.000 0.500 0.000
Se 0.500 0.000 0.000
Mo 0.500 0.500 0.500
Ru 0.000 0.000 0.000

Output
**ρ**: 6.7 Mg/m³

---

It is two that is the least stable of them.